Material: CrAg2Mo
Method: DFT, GGA-PBE
State: optimized geometry

Summary:
- E above lowest polymorph (kJ per mole of atoms) = 0.0
- mass density (g cm⁻³) = 9.38
- formation energy (eV per atom) = 0.3384
- space-group type = Cmm2

a b c (Å): 2.759 2.759 9.129
angles (deg): 90.00 90.00 112.09
Element x y z (fractional)
Mo (0.500, 0.500, 0.722)
Ag (0.500, 0.500, 0.265)
Ag (0.000, 0.000, 0.995)
Cr (0.000, 0.000, 0.519)